First-principles (PBE-GGA) data for crystalline Li2LaCo at its relaxed geometry, as listed in Alexandria.

Values from the calculation:
**DFT formation energy**: 220.1 meV per atom
**M_tot**: 0.00 μB per atom
**Space-group type**: No. 119
**Theoretical density**: 4.6 g/cm3
**Relative energy among the computed polymorphs**: 90 meV per atom
**DOS(E_F)**: 2.41 states/eV/f.u.

a = 4.779 Å, b = 4.779 Å, c = 4.779 Å
α = 119.96°, β = 119.96°, γ = 90.08°
Atoms (fractional coordinates):
Li 0.000 0.000 0.000
Li 0.750 0.250 0.500
La 0.250 0.750 0.500
Co 0.500 0.500 0.000